Material: SrCaAu
Method: DFT, SCAN
State: single point on PBEsol structure

Cell: 5.1865 5.1865 5.1865 Å, 60.00 60.00 60.00°
Closest atoms and distances in Å follow each position.
Element x y z (fractional)
Ca: 0.0000 0.0000 0.0000  4 Au 3.18
Au: 0.2500 0.2500 0.2500  4 Ca 3.18, 4 Sr 3.18
Sr: 0.5000 0.5000 0.5000  4 Au 3.18

Results
* mass density: 5.46 g cm⁻³
* crystal system: cubic
* raw total energy: -34.36 eV/atom
* formation enthalpy at 0 K: -0.66 eV/atom
* spin magnetization: 0.0 μB per formula unit
* SG: F-43m (216)

Material: CaTaAu2
Method: DFT, SCAN
State: single point on PBEsol structure

Cell: 3.0879 4.5389 6.5334 Å, 99.05 90.00 109.89°
Closest atoms and distances in Å follow each position.
Element x y z (fractional)
Au: 0.2551 0.5101 0.3009  3 Ta 2.72-2.75, 2 Au 3.04
Ca: 0.5000 0.0000 0.0000  2 Ca 3.09, 6 Au 3.09-3.10
Ta: 0.0000 0.0000 0.5000  6 Au 2.72-2.75
Au: 0.7449 0.4899 0.6991  3 Ta 2.72-2.75, 2 Au 3.04

Results
* mass density: 12.03 g cm⁻³
* crystal system: monoclinic
* raw total energy: -53.79 eV/atom
* formation enthalpy at 0 K: -0.15 eV/atom
* spin magnetization: 0.0 μB per formula unit
* SG: C2/m (12)